Entry from the Alexandria database: crystalline CaSiP at its relaxed geometry (PBE).

a b c (Å): 8.7257 3.5668 8.0530
angles (deg): 90.00 90.00 90.00
Atoms (fractional coordinates):
Ca 0.0279 0.2500 0.2465
Ca 0.4721 0.7500 0.7465
Ca 0.5279 0.2500 0.2535
Ca 0.9721 0.7500 0.7535
Si 0.2231 0.2500 0.5745
Si 0.2769 0.7500 0.0745
Si 0.7231 0.2500 0.9255
Si 0.7769 0.7500 0.4255
P 0.2153 0.2500 0.8980
P 0.2847 0.7500 0.3980
P 0.7153 0.2500 0.6020
P 0.7847 0.7500 0.1020

Results
Total magnetic moment in μB per formula unit: 0.0
Raw total energy in eV per atom: -4.71
Formation energy from raw total energies in meV per atom: -435

Entry from the Alexandria database: crystalline CaSi3P at its relaxed geometry (PBE).

a b c (Å): 4.6907 4.6907 4.6907
angles (deg): 90.00 90.00 90.00
Atoms (fractional coordinates):
Ca 0.0000 0.0000 0.0000
Si 0.0000 0.5000 0.5000
Si 0.5000 0.0000 0.5000
Si 0.5000 0.5000 0.0000
P 0.5000 0.5000 0.5000

Results
Total magnetic moment in μB per formula unit: 0.0
Raw total energy in eV per atom: -4.35
Formation energy from raw total energies in meV per atom: 381

Entry from the Alexandria database: crystalline CaSi3P at its relaxed geometry (PBE).

a b c (Å): 5.2522 5.2522 5.2522
angles (deg): 90.00 90.00 90.00
Atoms (fractional coordinates):
Ca 0.0000 0.0000 0.0000
Si 0.0000 0.0000 0.5000
Si 0.0000 0.5000 0.0000
Si 0.5000 0.0000 0.0000
P 0.5000 0.5000 0.5000

Results
Total magnetic moment in μB per formula unit: 1.1
Raw total energy in eV per atom: -2.88
Formation energy from raw total energies in meV per atom: 1854

Entry from the Alexandria database: crystalline Ca4SiP at its relaxed geometry (PBE).

a b c (Å): 4.9584 4.9584 6.9680
angles (deg): 90.00 90.00 90.00
Atoms (fractional coordinates):
Ca 0.0000 0.5000 0.2493
Ca 0.0000 0.5000 0.7507
Ca 0.5000 0.0000 0.2493
Ca 0.5000 0.0000 0.7507
Si 0.0000 0.0000 0.5000
P 0.5000 0.5000 0.0000

Results
Total magnetic moment in μB per formula unit: 0.0
Raw total energy in eV per atom: -3.88
Formation energy from raw total energies in meV per atom: -744

Entry from the Alexandria database: crystalline CaSi4P at its relaxed geometry (PBE).

a b c (Å): 5.2117 5.2117 5.2117
angles (deg): 60.00 60.00 60.00
Atoms (fractional coordinates):
Ca 0.0000 0.0000 0.0000
Si 0.3755 0.3755 0.3755
Si 0.3755 0.3755 0.8736
Si 0.3755 0.8736 0.3755
Si 0.8736 0.3755 0.3755
P 0.7500 0.7500 0.7500

Results
Total magnetic moment in μB per formula unit: 0.0
Raw total energy in eV per atom: -4.67
Formation energy from raw total energies in meV per atom: 180

Entry from the Alexandria database: crystalline CaSiP at its relaxed geometry (PBE).

a b c (Å): 6.1921 6.1921 6.8890
angles (deg): 90.00 90.00 97.77
Atoms (fractional coordinates):
Ca 0.1201 0.3799 0.2500
Ca 0.3799 0.1201 0.7500
Ca 0.6201 0.8799 0.2500
Ca 0.8799 0.6201 0.7500
Si 0.1041 0.8959 0.3844
Si 0.3959 0.6041 0.8844
Si 0.6041 0.3959 0.1156
Si 0.8959 0.1041 0.6156
P 0.1873 0.8127 0.0524
P 0.3127 0.6873 0.5524
P 0.6873 0.3127 0.4476
P 0.8127 0.1873 0.9476

Results
Total magnetic moment in μB per formula unit: 0.0
Raw total energy in eV per atom: -4.81
Formation energy from raw total energies in meV per atom: -533

Entry from the Alexandria database: crystalline CaSi2P at its relaxed geometry (PBE).

a b c (Å): 4.8380 4.8380 5.2558
angles (deg): 107.31 107.31 41.39
Atoms (fractional coordinates):
Ca 0.0000 0.0000 0.0000
Si 0.2244 0.2244 0.6390
Si 0.4926 0.4926 0.4942
P 0.7710 0.7710 0.3530

Results
Total magnetic moment in μB per formula unit: 0.0
Raw total energy in eV per atom: -4.75
Formation energy from raw total energies in meV per atom: -189

Entry from the Alexandria database: crystalline CaSiP at its relaxed geometry (PBE).

a b c (Å): 4.2016 4.2016 4.0886
angles (deg): 90.00 90.00 120.00
Atoms (fractional coordinates):
Ca 0.0000 0.0000 0.0000
Si 0.3333 0.6667 0.5000
P 0.6667 0.3333 0.5000

Results
Total magnetic moment in μB per formula unit: 0.0
Raw total energy in eV per atom: -4.69
Formation energy from raw total energies in meV per atom: -413